# 1
VASP calculation (GGA-PBE) on an optimized crystal structure of LaTc.

Results
distance to the lowest polymorph of the same formula = 0.398 eV/atom
space group = No. 227

a b c (Å): 4.9319 4.9319 4.9319
angles (deg): 60.00 60.00 60.00
Closest atoms and distances in Å follow each position.
Sites, in units of the cell vectors:
La: 0.1250 0.1250 0.1250  4 Tc 3.02, 4 La 3.02
La: 0.8750 0.8750 0.8750  4 La 3.02, 4 Tc 3.02
Tc: 0.3750 0.3750 0.3750  4 La 3.02, 4 Tc 3.02
Tc: 0.6250 0.6250 0.6250  4 Tc 3.02, 4 La 3.02

***

# 2
VASP calculation (GGA-PBE) on an optimized crystal structure of La5Tc.

Results
distance to the lowest polymorph of the same formula = 0.648 eV/atom
space group = No. 216

a b c (Å): 6.3644 6.3644 6.3644
angles (deg): 60.00 60.00 60.00
Closest atoms and distances in Å follow each position.
Sites, in units of the cell vectors:
La: 0.0000 0.0000 0.0000  12 La 3.74, 4 Tc 3.90
La: 0.1302 0.6233 0.6233  6 La 3.14-3.23
La: 0.6233 0.1302 0.6233  6 La 3.14-3.23
La: 0.6233 0.6233 0.1302  6 La 3.14-3.23
La: 0.6233 0.6233 0.6233  6 La 3.14-3.23
Tc: 0.2500 0.2500 0.2500  16 La 3.73-3.90

***

Q: The highest distance to the lowest polymorph of the same formula belongs to which entry?
A: La5Tc

***

Repeat the first record exactly.
VASP calculation (GGA-PBE) on an optimized crystal structure of LaTc.

Results
distance to the lowest polymorph of the same formula = 0.398 eV/atom
space group = No. 227

a b c (Å): 4.9319 4.9319 4.9319
angles (deg): 60.00 60.00 60.00
Closest atoms and distances in Å follow each position.
Sites, in units of the cell vectors:
La: 0.1250 0.1250 0.1250  4 Tc 3.02, 4 La 3.02
La: 0.8750 0.8750 0.8750  4 La 3.02, 4 Tc 3.02
Tc: 0.3750 0.3750 0.3750  4 La 3.02, 4 Tc 3.02
Tc: 0.6250 0.6250 0.6250  4 Tc 3.02, 4 La 3.02

***

Repeat the second record exactly.
VASP calculation (GGA-PBE) on an optimized crystal structure of La5Tc.

Results
distance to the lowest polymorph of the same formula = 0.648 eV/atom
space group = No. 216

a b c (Å): 6.3644 6.3644 6.3644
angles (deg): 60.00 60.00 60.00
Closest atoms and distances in Å follow each position.
Sites, in units of the cell vectors:
La: 0.0000 0.0000 0.0000  12 La 3.74, 4 Tc 3.90
La: 0.1302 0.6233 0.6233  6 La 3.14-3.23
La: 0.6233 0.1302 0.6233  6 La 3.14-3.23
La: 0.6233 0.6233 0.1302  6 La 3.14-3.23
La: 0.6233 0.6233 0.6233  6 La 3.14-3.23
Tc: 0.2500 0.2500 0.2500  16 La 3.73-3.90